Entry from the Alexandria database: a geometry-optimized TaCrCo5 structure (PBE).

Its formation energy is 0.151 eV per atom. Its total magnetic moment is 1.943 μB/f.u. The total energy is -7.9928 eV/atom.

The structure belongs to space group P4/mmm (No. 123); the cell edges are 3.7287, 3.7287 and 6.2102 Å and the angles 90.00°, 90.00° and 90.00°. Symmetry generates all atoms from Ta at (0.0000, 0.0000, 0.0000), Cr at (0.5000, 0.5000, 0.5000), Co at (0.0000, 0.5000, 0.2876) and Co at (0.5000, 0.5000, 0.0000).

=====

Entry from the Alexandria database: a geometry-optimized Ta2CrCo structure (PBE).

Its formation energy is 0.106 eV per atom. Its total magnetic moment is 1.168 μB/f.u. The total energy is -10.0031 eV/atom.

The structure belongs to space group Immm (No. 71); the cell edges are 3.2752, 4.4875 and 8.0823 Å and the angles 90.00°, 90.00° and 90.00°. Symmetry generates all atoms from Ta at (0.0000, 0.0000, 0.2482), Cr at (0.0000, 0.5000, 0.0000) and Co at (0.0000, 0.5000, 0.5000).